## IrW2Au (GGA-PBEsol)

Data for IrW2Au after structural relaxation.

ΔE_f: 0.589 eV per formula unit
Symmetry: P4/mmm (123)

Cell: 3.8618 3.8618 4.0915 Å, 90.00 90.00 90.00°
Last column: nearest neighbours and their distance in Å.
Fractional positions:
Ir: 0.0000 0.0000 0.0000  4 Au 2.73, 8 W 2.81
W: 0.0000 0.5000 0.5000  4 W 2.73, 4 Ir 2.81, 4 Au 2.81
W: 0.5000 0.0000 0.5000  4 W 2.73, 4 Ir 2.81, 4 Au 2.81
Au: 0.5000 0.5000 0.0000  4 Ir 2.73, 8 W 2.81

## BaHgSe2 (GGA-PBEsol)

Data for BaHgSe2 after structural relaxation.

Uncorrected formation energy: -1.143 eV per atom
Symmetry: Amm2 (38)

Cell: 4.3737 7.5306 7.5306 Å, 99.64 90.00 90.00°
Last column: nearest neighbours and their distance in Å.
Fractional positions:
Ba: 0.0000 0.2098 0.7902  7 Se 3.29-3.36
Ba: 0.0000 0.7902 0.2098  7 Se 3.29-3.36
Hg: 0.5000 0.2765 0.2765  2 Se 2.49
Hg: 0.5000 0.6861 0.6861  3 Se 2.58-2.64
Se: 0.0000 0.5331 0.5331  2 Hg 2.64
Se: 0.5000 0.0464 0.4789  1 Hg 2.49
Se: 0.5000 0.4789 0.0464  1 Hg 2.49
Se: 0.5000 0.9511 0.9511  1 Hg 2.58